{"formula": "SiOs2W", "functional": "PBE", "state": "relaxed", "space_group": "No. 10", "cell": [[-2.509, -1.762, -2.618], [-1.056, -1.566, 2.066], [-4.057, 2.774, 2.021]], "species": ["Os", "Os", "Si", "W"], "fractional_positions": [[0.000, 0.113, 0.016], [0.000, 0.387, 0.484], [0.500, 0.250, 0.250], [0.500, 0.750, 0.750]]}

{"formula": "SiOs2W", "functional": "PBE", "state": "relaxed", "space_group": "No. 65", "cell": [[-1.758, -3.405, 2.468], [-0.704, -1.362, -4.292], [2.536, -1.309, 0.000]], "species": ["Os", "Os", "Si", "W"], "fractional_positions": [[0.500, 0.500, 0.000], [0.000, 0.000, 0.000], [0.500, 0.000, 0.500], [0.000, 0.500, 0.500]]}

{"formula": "SiOsW3", "functional": "PBE", "state": "relaxed", "space_group": "No. 221", "cell": [[4.747, 0.000, 0.000], [0.000, 4.747, 0.000], [0.000, 0.000, 4.747]], "species": ["Si", "W", "W", "W", "Os"], "fractional_positions": [[0.500, 0.500, 0.500], [0.000, 0.500, 0.000], [0.000, 0.000, 0.500], [0.500, 0.000, 0.000], [0.000, 0.000, 0.000]]}

{"formula": "Si2OsW", "functional": "PBE", "state": "relaxed", "space_group": "No. 216", "cell": [[4.349, 0.000, 0.000], [2.175, 3.767, 0.000], [2.175, 1.256, 3.551]], "species": ["W", "Si", "Si", "Os"], "fractional_positions": [[0.750, 0.750, 0.750], [0.000, 0.000, 0.000], [0.250, 0.250, 0.250], [0.500, 0.500, 0.500]]}

Here are the calculated ΔE_f (raw) numbers, same order: -0.02, 0.11, 2.14, 0.31 (eV/atom).